(1)
# LaGa4Ru2Rh | Alexandria | PBE-GGA | relaxed
data_LaGa4Ru2Rh
_chemical_formula_sum 'La3 Ga12 Ru6 Rh3'
_space_group_name_H-M_alt 'R -3 m'
_space_group_IT_number 166
_space_group_name_Hall '-R 3 2"'
_cell_length_a 4.2788
_cell_length_b 4.2788
_cell_length_c 26.6452
_cell_angle_alpha 90.00
_cell_angle_beta 90.00
_cell_angle_gamma 120.00
loop_
_atom_site_label
_atom_site_fract_x
_atom_site_fract_y
_atom_site_fract_z
La1 0.0000 0.0000 0.0000
Ga1 0.0000 0.0000 0.1316
Ga2 0.0000 0.0000 0.4049
Ru1 0.0000 0.0000 0.2330
Rh1 0.0000 0.0000 0.5000
# E ... -5.861 eV/atom
# Energy of formation from the pure elements ... -0.494 eV/atom
# Mass density ... 8.52 Mg/m³

(2)
# LaGa4RuRh2 | Alexandria | PBE-GGA | relaxed
data_LaGa4RuRh2
_chemical_formula_sum 'La3 Ga12 Ru3 Rh6'
_space_group_name_H-M_alt 'R -3 m'
_space_group_IT_number 166
_space_group_name_Hall '-R 3 2"'
_cell_length_a 4.2615
_cell_length_b 4.2615
_cell_length_c 26.8562
_cell_angle_alpha 90.00
_cell_angle_beta 90.00
_cell_angle_gamma 120.00
loop_
_atom_site_label
_atom_site_fract_x
_atom_site_fract_y
_atom_site_fract_z
La1 0.0000 0.0000 0.0000
Ga1 0.0000 0.0000 0.1333
Ga2 0.0000 0.0000 0.4049
Ru1 0.0000 0.0000 0.5000
Rh1 0.0000 0.0000 0.2340
# E ... -5.757 eV/atom
# Energy of formation from the pure elements ... -0.631 eV/atom
# Mass density ... 8.55 Mg/m³

(3)
# La2GaSbRh6 | Alexandria | PBE-GGA | relaxed
data_La2GaSbRh6
_chemical_formula_sum 'La2 Ga1 Sb1 Rh6'
_space_group_name_H-M_alt 'P -1'
_space_group_IT_number 2
_cell_length_a 5.646
_cell_length_b 5.650
_cell_length_c 8.484
_cell_angle_alpha 70.61
_cell_angle_beta 70.61
_cell_angle_gamma 60.07
loop_
_space_group_symop_operation_xyz
'x,y,z'
'-x,-y,-z'
loop_
_atom_site_label
_atom_site_fract_x
_atom_site_fract_y
_atom_site_fract_z
La1 0.208 0.210 0.372
Ga1 0.500 0.500 0.500
Sb1 0.000 0.000 0.000
Rh1 0.257 0.253 0.748
Rh2 0.257 0.738 0.750
Rh3 0.258 0.745 0.252
# E ... -6.543 eV/atom
# Energy relative to the elements, uncorrected ... -416 kJ/mol of formula units
# Mass density ... 8.33 Mg/m³

(4)
# LaGa2SiRh4 | Alexandria | PBE-GGA | relaxed
data_LaGa2SiRh4
_chemical_formula_sum 'La3 Ga6 Si3 Rh12'
_space_group_name_H-M_alt 'R -3 m'
_space_group_IT_number 166
_space_group_name_Hall '-R 3 2"'
_cell_length_a 4.2578
_cell_length_b 4.2578
_cell_length_c 25.5032
_cell_angle_alpha 90.00
_cell_angle_beta 90.00
_cell_angle_gamma 120.00
loop_
_atom_site_label
_atom_site_fract_x
_atom_site_fract_y
_atom_site_fract_z
La1 0.0000 0.0000 0.0000
Ga1 0.0000 0.0000 0.2415
Si1 0.0000 0.0000 0.5000
Rh1 0.0000 0.0000 0.1362
Rh2 0.0000 0.0000 0.4072
# E ... -6.504 eV/atom
# Energy relative to the elements, uncorrected ... -601 kJ/mol of formula units
# Mass density ... 8.93 Mg/m³

(5)
# LaGa2SiRh | Alexandria | PBE-GGA | relaxed
data_LaGa2SiRh
_chemical_formula_sum 'La2 Ga4 Si2 Rh2'
_space_group_name_H-M_alt 'I m m 2'
_space_group_IT_number 44
_cell_length_a 4.165
_cell_length_b 4.183
_cell_length_c 10.815
_cell_angle_alpha 90.00
_cell_angle_beta 90.00
_cell_angle_gamma 90.00
loop_
_space_group_symop_operation_xyz
'x,y,z'
'-x,-y,z'
'-x,y,z'
'x,-y,z'
'x+1/2,y+1/2,z+1/2'
'-x+1/2,-y+1/2,z+1/2'
'-x+1/2,y+1/2,z+1/2'
'x+1/2,-y+1/2,z+1/2'
loop_
_atom_site_label
_atom_site_fract_x
_atom_site_fract_y
_atom_site_fract_z
La1 0.000 0.000 0.000
Ga1 0.000 0.000 0.382
Ga2 0.000 0.500 0.248
Si1 0.000 0.000 0.616
Rh1 0.000 0.500 0.736
# E ... -5.463 eV/atom
# Energy relative to the elements, uncorrected ... -343 kJ/mol of formula units
# Mass density ... 7.22 Mg/m³

(6)
# La2GaSiRh6 | Alexandria | PBE-GGA | relaxed
data_La2GaSiRh6
_chemical_formula_sum 'La4 Ga2 Si2 Rh12'
_space_group_name_H-M_alt 'C 1 2/m 1'
_space_group_IT_number 12
_cell_length_a 11.207
_cell_length_b 6.479
_cell_length_c 6.469
_cell_angle_alpha 90.00
_cell_angle_beta 125.23
_cell_angle_gamma 90.00
loop_
_space_group_symop_operation_xyz
'x,y,z'
'-x,-y,-z'
'-x,y,-z'
'x,-y,z'
'x+1/2,y+1/2,z'
'-x+1/2,-y+1/2,-z'
'-x+1/2,y+1/2,-z'
'x+1/2,-y+1/2,z'
loop_
_atom_site_label
_atom_site_fract_x
_atom_site_fract_y
_atom_site_fract_z
La1 0.250 0.000 0.250
Ga1 0.000 0.000 0.500
Si1 0.000 0.500 0.000
Rh1 0.000 0.256 0.244
Rh2 0.244 0.500 0.244
# E ... -6.768 eV/atom
# Energy relative to the elements, uncorrected ... -508 kJ/mol of formula units
# Mass density ... 8.60 Mg/m³

(7)
# LaGaSiRh3 | Alexandria | PBE-GGA | relaxed
data_LaGaSiRh3
_chemical_formula_sum 'La4 Ga4 Si4 Rh12'
_space_group_name_H-M_alt 'C m c m'
_space_group_IT_number 63
_space_group_name_Hall '-C 2c 2'
_cell_length_a 5.812
_cell_length_b 14.326
_cell_length_c 5.836
_cell_angle_alpha 90.00
_cell_angle_beta 90.00
_cell_angle_gamma 90.00
loop_
_atom_site_label
_atom_site_fract_x
_atom_site_fract_y
_atom_site_fract_z
La1 0.000 0.249 0.250
Ga1 0.000 0.096 0.750
Si1 0.000 0.426 0.750
Rh1 0.000 0.266 0.750
Rh2 0.250 0.000 0.000
# E ... -6.604 eV/atom
# Energy relative to the elements, uncorrected ... -405 kJ/mol of formula units
# Mass density ... 7.46 Mg/m³

(8)
# LaSmGa2Rh2 | Alexandria | PBE-GGA | relaxed
data_LaSmGa2Rh2
_chemical_formula_sum 'La1 Sm1 Ga2 Rh2'
_space_group_name_H-M_alt 'P -3 m 1'
_space_group_IT_number 164
_space_group_name_Hall '-P 3 2"'
_cell_length_a 4.3961
_cell_length_b 4.3961
_cell_length_c 7.7302
_cell_angle_alpha 90.00
_cell_angle_beta 90.00
_cell_angle_gamma 120.00
loop_
_atom_site_label
_atom_site_fract_x
_atom_site_fract_y
_atom_site_fract_z
La1 0.0000 0.0000 0.0000
Sm1 0.0000 0.0000 0.5000
Ga1 0.3333 0.6667 0.2639
Rh1 0.3333 0.6667 0.7370
# E ... -5.857 eV/atom
# Energy of formation from the pure elements ... -0.790 eV/atom
# Mass density ... 8.14 Mg/m³

(9)
# La2GaSn3Rh4 | Alexandria | PBE-GGA | relaxed
data_La2GaSn3Rh4
_chemical_formula_sum 'La2 Ga1 Sn3 Rh4'
_space_group_name_H-M_alt 'P -4 m 2'
_space_group_IT_number 115
_cell_length_a 4.478
_cell_length_b 4.478
_cell_length_c 10.730
_cell_angle_alpha 90.00
_cell_angle_beta 90.00
_cell_angle_gamma 90.00
loop_
_space_group_symop_operation_xyz
'x,y,z'
'y,-x,-z'
'-x,-y,z'
'-y,x,-z'
'-x,y,z'
'-y,-x,-z'
'x,-y,z'
'y,x,-z'
loop_
_atom_site_label
_atom_site_fract_x
_atom_site_fract_y
_atom_site_fract_z
La1 0.000 0.500 0.245
Ga1 0.500 0.500 0.000
Sn1 0.000 0.000 0.000
Sn2 0.000 0.500 0.631
Rh1 0.000 0.000 0.500
Rh2 0.000 0.500 0.874
Rh3 0.500 0.500 0.500
# E ... -6.190 eV/atom
# Energy of formation from the pure elements ... -0.760 eV/atom
# Mass density ... 8.61 Mg/m³

(10)
# LaGaSnRh3 | Alexandria | PBE-GGA | relaxed
data_LaGaSnRh3
_chemical_formula_sum 'La4 Ga4 Sn4 Rh12'
_space_group_name_H-M_alt 'C m c m'
_space_group_IT_number 63
_space_group_name_Hall '-C 2c 2'
_cell_length_a 5.725
_cell_length_b 16.464
_cell_length_c 5.664
_cell_angle_alpha 90.00
_cell_angle_beta 90.00
_cell_angle_gamma 90.00
loop_
_atom_site_label
_atom_site_fract_x
_atom_site_fract_y
_atom_site_fract_z
La1 0.000 0.234 0.250
Ga1 0.000 0.095 0.750
Sn1 0.000 0.403 0.750
Rh1 0.000 0.245 0.750
Rh2 0.237 0.000 0.000
# E ... -6.167 eV/atom
# Energy of formation from the pure elements ... -0.498 eV/atom
# Mass density ... 7.91 Mg/m³